! HRu3W (PBE-GGA, relaxed); values from VASP
! DFT total energy (eV per cell): -80.37
! Symmetry: Cmcm, No. 63
! Spin magnetization (Bohr magnetons per cell): 0.0
! Distance to the lowest polymorph of the same formula (meV/atom): 879.8
! Volume (Å³ per atom): 16.79
! DOS at the Fermi energy (states/eV/cell): 10.47
&SYSTEM
  ibrav = 0, nat = 10, ntyp = 3
/
ATOMIC_SPECIES
H 1.01 H.upf
Ru 101.07 Ru.upf
W 183.84 W.upf
CELL_PARAMETERS angstrom
2.834 -6.507 0.000
2.834 6.507 0.000
0.000 0.000 4.552
ATOMIC_POSITIONS crystal
H 0.087 0.913 0.750
H 0.913 0.087 0.250
Ru 0.093 0.427 0.250
Ru 0.427 0.093 0.750
Ru 0.500 0.500 0.000
Ru 0.500 0.500 0.500
Ru 0.573 0.907 0.250
Ru 0.907 0.573 0.750
W 0.316 0.684 0.750
W 0.684 0.316 0.250